#P
Density functional theory data (PBE-GGA) for a geometry-optimized LiGdY structure.

Lattice parameters (Å, degrees): 3.5023 3.5023 8.3546 90.00 90.00 120.00
With the nearest neighbours (Å) after each atom.
Element x y z (fractional)
Li 0.0000 0.0000 0.0000  3 Y 3.40, 3 Gd 3.43, 6 Li 3.50
Gd 0.6667 0.3333 0.3318  3 Li 3.43, 3 Y 3.49, 6 Gd 3.50
Y 0.3333 0.6667 0.6726  3 Li 3.40, 3 Gd 3.49, 6 Y 3.50

Density = 4.74 g/cm3



#Q
Density functional theory data (PBE-GGA) for a geometry-optimized LiGdY structure.

Lattice parameters (Å, degrees): 3.6824 3.6824 12.5085 90.00 90.00 90.00
With the nearest neighbours (Å) after each atom.
Element x y z (fractional)
Li 0.0000 0.0000 0.0000  4 Y 3.23, 4 Gd 3.26
Li 0.5000 0.5000 0.5000  4 Y 3.23, 4 Gd 3.26
Gd 0.0000 0.0000 0.6569  4 Li 3.26, 4 Y 3.53
Gd 0.5000 0.5000 0.1569  4 Li 3.26, 4 Y 3.53
Y 0.0000 0.0000 0.3474  4 Li 3.23, 4 Gd 3.53
Y 0.5000 0.5000 0.8474  4 Li 3.23, 4 Gd 3.53

Density = 4.96 g/cm3



Which structure is most stable? #Q, by 44 meV per atom over the runner-up.



#P
Density functional theory data (PBE-GGA) for a geometry-optimized LiGdZn structure.

Lattice parameters (Å, degrees): 4.7737 4.7737 3.2298 90.00 90.00 120.00
With the nearest neighbours (Å) after each atom.
Element x y z (fractional)
Li 0.0000 0.0000 0.0000  3 Zn 2.76
Gd 0.6667 0.3333 0.4985  6 Li 3.19-3.20, 6 Zn 3.19-3.20, 2 Gd 3.23
Zn 0.3333 0.6667 0.9977  3 Li 2.76

Density = 5.98 g/cm3



#Q
Density functional theory data (PBE-GGA) for a geometry-optimized LiGdZn structure.

Lattice parameters (Å, degrees): 3.6069 3.6069 9.9037 90.00 90.00 90.00
With the nearest neighbours (Å) after each atom.
Element x y z (fractional)
Li 0.0000 0.0000 0.0000  4 Zn 2.84, 1 Gd 2.98
Li 0.5000 0.5000 0.5000  4 Zn 2.84, 1 Gd 2.98
Gd 0.0000 0.0000 0.6989  5 Li 2.98-3.22, 5 Zn 3.09-3.21
Gd 0.5000 0.5000 0.1989  5 Li 2.98-3.22, 5 Zn 3.09-3.21
Zn 0.0000 0.0000 0.3747  4 Li 2.84, 4 Gd 3.09
Zn 0.5000 0.5000 0.8747  4 Li 2.84, 4 Gd 3.09

Density = 5.92 g/cm3



Which structure is most stable? #P, by 24 meV per atom over the runner-up.



#P
Density functional theory data (PBE-GGA) for a geometry-optimized Gd2Lu structure.

Lattice parameters (Å, degrees): 6.5108 6.5108 6.5108 60.00 60.00 60.00
With the nearest neighbours (Å) after each atom.
Element x y z (fractional)
Gd 0.0000 0.0000 0.0000  6 Gd 3.26
Gd 0.0000 0.0000 0.5000  6 Gd 3.26
Gd 0.0000 0.5000 0.0000  6 Gd 3.26
Gd 0.5000 0.0000 0.0000  6 Gd 3.26
Lu 0.3750 0.3750 0.3750  12 Gd 3.82, 4 Lu 3.99
Lu 0.6250 0.6250 0.6250  12 Gd 3.82, 4 Lu 3.99

Density = 8.33 g/cm3



#Q
Density functional theory data (PBE-GGA) for a geometry-optimized Gd2Lu structure.

Lattice parameters (Å, degrees): 4.1064 4.1064 11.3037 90.00 90.00 90.00
With the nearest neighbours (Å) after each atom.
Element x y z (fractional)
Gd 0.0000 0.0000 0.1613  5 Lu 3.43-3.83, 5 Gd 3.53-3.65
Gd 0.0000 0.0000 0.8387  5 Lu 3.43-3.83, 5 Gd 3.53-3.65
Gd 0.5000 0.5000 0.3387  5 Lu 3.43-3.83, 5 Gd 3.53-3.65
Gd 0.5000 0.5000 0.6613  5 Lu 3.43-3.83, 5 Gd 3.53-3.65
Lu 0.0000 0.0000 0.5000  10 Gd 3.43-3.83
Lu 0.5000 0.5000 0.0000  10 Gd 3.43-3.83

Density = 8.53 g/cm3



Which structure is most stable? #Q, by 169 meV per atom over the runner-up.



#P
Density functional theory data (PBE-GGA) for a geometry-optimized GdLuMg structure.

Lattice parameters (Å, degrees): 3.5906 3.5906 13.3363 90.00 90.00 90.00
With the nearest neighbours (Å) after each atom.
Element x y z (fractional)
Gd 0.0000 0.0000 0.0000  4 Mg 3.37, 4 Lu 3.47, 4 Gd 3.59
Gd 0.5000 0.5000 0.5000  4 Mg 3.37, 4 Lu 3.47, 4 Gd 3.59
Lu 0.0000 0.0000 0.6778  4 Mg 3.29, 4 Gd 3.47, 4 Lu 3.59
Lu 0.5000 0.5000 0.1778  4 Mg 3.29, 4 Gd 3.47, 4 Lu 3.59
Mg 0.0000 0.0000 0.3343  4 Lu 3.29, 4 Gd 3.37, 4 Mg 3.59
Mg 0.5000 0.5000 0.8343  4 Lu 3.29, 4 Gd 3.37, 4 Mg 3.59

Density = 6.89 g/cm3



#Q
Density functional theory data (PBE-GGA) for a geometry-optimized GdLuMg structure.

Lattice parameters (Å, degrees): 5.4164 5.4164 3.3500 90.00 90.00 120.00
With the nearest neighbours (Å) after each atom.
Element x y z (fractional)
Gd 0.0000 0.0000 0.0000  3 Mg 3.30, 2 Gd 3.35, 6 Lu 3.42-3.69
Lu 0.3333 0.6667 0.5832  3 Mg 3.26, 2 Lu 3.35, 3 Gd 3.42
Mg 0.6667 0.3333 0.3124  3 Lu 3.26, 3 Gd 3.30, 2 Mg 3.35

Density = 6.96 g/cm3



Which structure is most stable? #P, by 92 meV per atom over the runner-up.



#P
Density functional theory data (PBE-GGA) for a geometry-optimized GdLuN structure.

Lattice parameters (Å, degrees): 3.4648 3.4648 5.9360 90.00 90.00 120.00
With the nearest neighbours (Å) after each atom.
Element x y z (fractional)
Gd 0.0000 0.0000 0.0000  3 N 2.50
Lu 0.3333 0.6667 0.5474  3 N 2.33
N 0.6667 0.3333 0.7480  3 Lu 2.33, 3 Gd 2.50

Density = 9.32 g/cm3



#Q
Density functional theory data (PBE-GGA) for a geometry-optimized GdLuN structure.

Lattice parameters (Å, degrees): 3.0916 3.0916 12.0723 90.00 90.00 90.00
With the nearest neighbours (Å) after each atom.
Element x y z (fractional)
Gd 0.0000 0.0000 0.0000  1 Lu 2.90, 4 N 2.93, 4 Gd 3.09
Gd 0.5000 0.5000 0.5000  1 Lu 2.90, 4 N 2.93, 4 Gd 3.09
Lu 0.0000 0.0000 0.2401  4 N 2.38
Lu 0.5000 0.5000 0.7401  4 N 2.38
N 0.0000 0.0000 0.6618  4 Lu 2.38
N 0.5000 0.5000 0.1618  4 Lu 2.38

Density = 9.97 g/cm3



Which structure is most stable? #P, by 584 meV per atom over the runner-up.



#P
Density functional theory data (PBE-GGA) for a geometry-optimized NdGdLu2 structure.

Lattice parameters (Å, degrees): 7.9835 7.9835 7.9835 90.00 90.00 90.00
With the nearest neighbours (Å) after each atom.
Element x y z (fractional)
Nd 0.0000 0.0000 0.0000  8 Lu 3.46
Nd 0.0000 0.5000 0.5000  8 Lu 3.46
Nd 0.5000 0.0000 0.5000  8 Lu 3.46
Nd 0.5000 0.5000 0.0000  8 Lu 3.46
Gd 0.0000 0.0000 0.5000  8 Lu 3.46
Gd 0.0000 0.5000 0.0000  8 Lu 3.46
Gd 0.5000 0.0000 0.0000  8 Lu 3.46
Gd 0.5000 0.5000 0.5000  8 Lu 3.46
Lu 0.2500 0.2500 0.2500  4 Gd 3.46, 4 Nd 3.46
Lu 0.2500 0.2500 0.7500  4 Nd 3.46, 4 Gd 3.46
Lu 0.2500 0.7500 0.2500  4 Nd 3.46, 4 Gd 3.46
Lu 0.2500 0.7500 0.7500  4 Gd 3.46, 4 Nd 3.46
Lu 0.7500 0.2500 0.2500  4 Nd 3.46, 4 Gd 3.46
Lu 0.7500 0.2500 0.7500  4 Gd 3.46, 4 Nd 3.46
Lu 0.7500 0.7500 0.2500  4 Gd 3.46, 4 Nd 3.46
Lu 0.7500 0.7500 0.7500  4 Nd 3.46, 4 Gd 3.46

Density = 8.50 g/cm3



#Q
Density functional theory data (PBE-GGA) for a geometry-optimized NdGdLu2 structure.

Lattice parameters (Å, degrees): 5.0503 5.0503 4.9289 90.00 90.00 90.00
With the nearest neighbours (Å) after each atom.
Element x y z (fractional)
Nd 0.0000 0.0000 0.0000  8 Lu 3.53, 4 Gd 3.57
Gd 0.5000 0.5000 0.0000  8 Lu 3.53, 4 Nd 3.57
Lu 0.0000 0.5000 0.5000  4 Gd 3.53, 4 Nd 3.53, 4 Lu 3.57
Lu 0.5000 0.0000 0.5000  4 Gd 3.53, 4 Nd 3.53, 4 Lu 3.57

Density = 8.60 g/cm3



Which structure is most stable? #Q, by 57 meV per atom over the runner-up.



#P
Density functional theory data (PBE-GGA) for a geometry-optimized GdLuNi structure.

Lattice parameters (Å, degrees): 6.6636 6.6636 6.6636 90.00 90.00 90.00
With the nearest neighbours (Å) after each atom.
Element x y z (fractional)
Gd 0.0000 0.0000 0.0000  4 Ni 2.89
Gd 0.0000 0.5000 0.5000  4 Ni 2.89
Gd 0.5000 0.0000 0.5000  4 Ni 2.89
Gd 0.5000 0.5000 0.0000  4 Ni 2.89
Lu 0.0000 0.0000 0.5000  4 Ni 2.89
Lu 0.0000 0.5000 0.0000  4 Ni 2.89
Lu 0.5000 0.0000 0.0000  4 Ni 2.89
Lu 0.5000 0.5000 0.5000  4 Ni 2.89
Ni 0.2500 0.2500 0.2500  4 Gd 2.89, 4 Lu 2.89
Ni 0.2500 0.7500 0.7500  4 Gd 2.89, 4 Lu 2.89
Ni 0.7500 0.2500 0.7500  4 Gd 2.89, 4 Lu 2.89
Ni 0.7500 0.7500 0.2500  4 Gd 2.89, 4 Lu 2.89

Density = 8.78 g/cm3



#Q
Density functional theory data (PBE-GGA) for a geometry-optimized GdLuNi structure.

Lattice parameters (Å, degrees): 3.3749 3.3749 12.3154 90.00 90.00 90.00
With the nearest neighbours (Å) after each atom.
Element x y z (fractional)
Gd 0.0000 0.0000 0.0000  4 Ni 2.97, 1 Lu 3.25
Gd 0.5000 0.5000 0.5000  4 Ni 2.97, 1 Lu 3.25
Lu 0.0000 0.0000 0.7358  4 Ni 2.81
Lu 0.5000 0.5000 0.2358  4 Ni 2.81
Ni 0.0000 0.0000 0.3569  4 Lu 2.81, 4 Gd 2.97
Ni 0.5000 0.5000 0.8569  4 Lu 2.81, 4 Gd 2.97

Density = 9.26 g/cm3



#R
Density functional theory data (PBE-GGA) for a geometry-optimized GdLuNi structure.

Lattice parameters (Å, degrees): 4.4867 4.4867 4.0586 90.00 90.00 120.00
With the nearest neighbours (Å) after each atom.
Element x y z (fractional)
Gd 0.0000 0.0000 0.0000  3 Ni 2.89
Lu 0.3333 0.6667 0.5079  3 Ni 2.71
Ni 0.6667 0.3333 0.3144  3 Lu 2.71, 3 Gd 2.89

Density = 9.17 g/cm3



Which structure is most stable? #Q, by 87 meV per atom over the runner-up.



#P
Density functional theory data (PBE-GGA) for a geometry-optimized GdLuOs structure.

Lattice parameters (Å, degrees): 6.7205 6.7205 6.7205 90.00 90.00 90.00
With the nearest neighbours (Å) after each atom.
Element x y z (fractional)
Gd 0.0000 0.0000 0.0000  4 Os 2.91
Gd 0.0000 0.5000 0.5000  4 Os 2.91
Gd 0.5000 0.0000 0.5000  4 Os 2.91
Gd 0.5000 0.5000 0.0000  4 Os 2.91
Lu 0.0000 0.0000 0.5000  4 Os 2.91
Lu 0.0000 0.5000 0.0000  4 Os 2.91
Lu 0.5000 0.0000 0.0000  4 Os 2.91
Lu 0.5000 0.5000 0.5000  4 Os 2.91
Os 0.2500 0.2500 0.7500  4 Lu 2.91, 4 Gd 2.91
Os 0.2500 0.7500 0.2500  4 Lu 2.91, 4 Gd 2.91
Os 0.7500 0.2500 0.2500  4 Lu 2.91, 4 Gd 2.91
Os 0.7500 0.7500 0.7500  4 Lu 2.91, 4 Gd 2.91

Density = 11.43 g/cm3



#Q
Density functional theory data (PBE-GGA) for a geometry-optimized GdLuOs structure.

Lattice parameters (Å, degrees): 3.3737 3.3737 13.0217 90.00 90.00 90.00
With the nearest neighbours (Å) after each atom.
Element x y z (fractional)
Gd 0.0000 0.0000 0.0000  4 Os 2.94
Gd 0.5000 0.5000 0.5000  4 Os 2.94
Lu 0.0000 0.0000 0.2530  4 Os 2.86
Lu 0.5000 0.5000 0.7530  4 Os 2.86
Os 0.0000 0.0000 0.6316  4 Lu 2.86, 4 Gd 2.94
Os 0.5000 0.5000 0.1316  4 Lu 2.86, 4 Gd 2.94

Density = 11.71 g/cm3



Which structure is most stable? #Q, by 32 meV per atom over the runner-up.